# 1
# PBE-GGA AcPuNi2, optimized geometry
data_AcPuNi2
_chemical_formula_sum 'Ac1 Pu1 Ni2'
_cell_length_a 4.994
_cell_length_b 4.994
_cell_length_c 3.497
_cell_angle_alpha 90.00
_cell_angle_beta 90.00
_cell_angle_gamma 90.00
_space_group_name_H-M_alt 'P 4/m m m'
_space_group_IT_number 123
_space_group_name_Hall '-P 4 2'
loop_
_atom_site_label
_atom_site_type_symbol
_atom_site_fract_x
_atom_site_fract_y
_atom_site_fract_z
Ac1 Ac 0.000 0.000 0.000
Pu1 Pu 0.500 0.500 0.000
Ni1 Ni 0.000 0.500 0.500
# Electronic total energy = -30.0 eV/cell
# Energy above the most stable polymorph in this dataset = 39 meV/atom
# V = 21.81 A^3/atom
# Size of the total moment = 5.690 μB/cell

***

# 2
# PBE-GGA Ac2PuNi9, optimized geometry
data_Ac2PuNi9
_chemical_formula_sum 'Ac6 Pu3 Ni27'
_cell_length_a 5.0726
_cell_length_b 5.0726
_cell_length_c 25.5563
_cell_angle_alpha 90.00
_cell_angle_beta 90.00
_cell_angle_gamma 120.00
_space_group_name_H-M_alt 'R -3 m'
_space_group_IT_number 166
_space_group_name_Hall '-R 3 2"'
loop_
_atom_site_label
_atom_site_type_symbol
_atom_site_fract_x
_atom_site_fract_y
_atom_site_fract_z
Ac1 Ac 0.0000 0.0000 0.1351
Pu1 Pu 0.0000 0.0000 0.0000
Ni1 Ni 0.0000 0.0000 0.3325
Ni2 Ni 0.0000 0.0000 0.5000
Ni3 Ni 0.0018 0.5009 0.0771
# Electronic total energy = -229.8 eV/cell
# V = 15.82 A^3/atom
# Size of the total moment = 11.603 μB/cell

***

# 3
# PBE-GGA AcPuNi10, optimized geometry
data_AcPuNi10
_chemical_formula_sum 'Ac1 Pu1 Ni10'
_cell_length_a 3.973
_cell_length_b 4.979
_cell_length_c 8.667
_cell_angle_alpha 90.00
_cell_angle_beta 90.00
_cell_angle_gamma 90.00
_space_group_name_H-M_alt 'P m m m'
_space_group_IT_number 47
loop_
_space_group_symop_operation_xyz
'x,y,z'
'-x,-y,-z'
'-x,-y,z'
'x,y,-z'
'x,-y,-z'
'-x,y,z'
'-x,y,-z'
'x,-y,z'
loop_
_atom_site_label
_atom_site_type_symbol
_atom_site_fract_x
_atom_site_fract_y
_atom_site_fract_z
Ac1 Ac 0.000 0.000 0.000
Pu1 Pu 0.000 0.500 0.500
Ni1 Ni 0.000 0.000 0.342
Ni2 Ni 0.000 0.500 0.180
Ni3 Ni 0.500 0.000 0.500
Ni4 Ni 0.500 0.255 0.260
Ni5 Ni 0.500 0.500 0.000
# Electronic total energy = -78.6 eV/cell
# V = 14.29 A^3/atom
# Size of the total moment = 1.632 μB/cell